Density functional theory data (PBE-GGA) for a relaxed structure of AgOs2Se.

POSCAR file:
```
AgOs2Se
1.0
-2.124 -5.998 3.534
5.459 -3.728 -3.046
3.202 -4.237 2.228
Os Se Ag
4 2 2
direct
0.568 0.125 0.250
0.182 0.625 0.250
0.375 0.432 0.750
0.875 0.818 0.750
0.500 0.500 0.000
0.250 0.750 0.500
0.000 0.000 0.000
0.750 0.250 0.500
```

Computed properties:
energy relative to the elements, uncorrected = 1.05 eV per atom
DOS(E_F) = 4.10 states/eV/f.u.
symmetry = I-42d
total moment = 0.00 μB per formula unit